(1)
Computed, not measured: a relaxed structure of RbMg2CoSn at the PBE-GGA level of DFT.

Computed properties:
Space-group type   No. 123
Energy of formation from the pure elements   0.022 eV/atom
Calculated total energy   -3.0309 eV/atom

a = 5.1539 Å, b = 5.1539 Å, c = 4.8941 Å
α = 90.00°, β = 90.00°, γ = 90.00°
Closest atoms and distances in Å follow each position.
Sites, in units of the cell vectors:
Mg  0.0000  0.5000  0.0000  2 Co 2.58
Mg  0.5000  0.0000  0.0000  2 Co 2.58
Co  0.0000  0.0000  0.0000  2 Sn 2.45, 4 Mg 2.58
Sn  0.0000  0.0000  0.5000  2 Co 2.45
Rb  0.5000  0.5000  0.5000  8 Mg 3.55, 4 Sn 3.64

(2)
Computed, not measured: a relaxed structure of Cs2KCu2Cl6 at the PBE-GGA level of DFT.

Computed properties:
Space-group type   No. 12
Formation energy (no corrections)   -1.3280 eV per atom
Calculated total energy   -3.3349 eV/atom

a = 7.3355 Å, b = 7.5831 Å, c = 8.8759 Å
α = 113.33°, β = 90.00°, γ = 118.93°
Closest atoms and distances in Å follow each position.
Sites, in units of the cell vectors:
Cs  0.7047  0.4094  0.1924  9 Cl 3.58-3.94
Cs  0.2953  0.5906  0.8076  9 Cl 3.58-3.94
K  0.5000  0.0000  0.5000  6 Cl 3.13-3.15
Cu  0.9477  0.8955  0.7505  3 Cl 2.18-2.21
Cu  0.0523  0.1045  0.2495  3 Cl 2.18-2.21
Cl  0.7634  0.5268  0.6311  1 Cu 2.18
Cl  0.1878  0.8866  0.1890  1 Cu 2.21
Cl  0.3012  0.1134  0.8110  1 Cu 2.21
Cl  0.8122  0.1134  0.8110  1 Cu 2.21
Cl  0.6988  0.8866  0.1890  1 Cu 2.21
Cl  0.2366  0.4732  0.3689  1 Cu 2.18

(3)
Computed, not measured: a relaxed structure of Sm3ErTm5 at the PBE-GGA level of DFT.

Computed properties:
Space-group type   No. 15
Energy of formation from the pure elements   0.167 eV/atom
Calculated total energy   -4.3975 eV/atom
Energy above the lowest structure with this stoichiometry   0.000 eV per atom

a = 6.6601 Å, b = 8.8209 Å, c = 11.2549 Å
α = 107.79°, β = 90.00°, γ = 112.18°
Closest atoms and distances in Å follow each position.
Sites, in units of the cell vectors:
Sm  0.0000  0.0000  0.0000  2 Er 3.19, 2 Tm 3.52
Sm  0.6078  0.4728  0.3531  7 Tm 3.33-3.58, 1 Sm 3.57
Sm  0.0000  0.0000  0.5000  2 Er 3.19, 2 Tm 3.52
Sm  0.3922  0.5272  0.6469  7 Tm 3.33-3.58, 1 Sm 3.57
Sm  0.8650  0.4728  0.8531  7 Tm 3.33-3.58, 1 Sm 3.57
Sm  0.1350  0.5272  0.1469  7 Tm 3.33-3.58, 1 Sm 3.57
Er  0.7735  0.0000  0.7500  1 Tm 3.03, 2 Sm 3.19
Er  0.2265  0.0000  0.2500  1 Tm 3.03, 2 Sm 3.19
Tm  0.3183  0.0000  0.7500  1 Er 3.03, 2 Tm 3.05
Tm  0.7004  0.6473  0.1243  1 Tm 3.05, 2 Sm 3.33-3.36
Tm  0.6116  0.2136  0.0450  5 Tm 3.30-3.58, 4 Sm 3.45-3.69, 1 Er 3.67
Tm  0.2996  0.3527  0.8757  1 Tm 3.05, 2 Sm 3.33-3.36
Tm  0.3981  0.7864  0.4550  5 Tm 3.30-3.58, 4 Sm 3.45-3.69, 1 Er 3.67
Tm  0.6817  0.0000  0.2500  1 Er 3.03, 2 Tm 3.05
Tm  0.9469  0.6473  0.6243  1 Tm 3.05, 2 Sm 3.33-3.36
Tm  0.0531  0.3527  0.3757  1 Tm 3.05, 2 Sm 3.33-3.36
Tm  0.6019  0.2136  0.5450  5 Tm 3.30-3.58, 4 Sm 3.45-3.69, 1 Er 3.67
Tm  0.3884  0.7864  0.9550  5 Tm 3.30-3.58, 4 Sm 3.45-3.69, 1 Er 3.67

(4)
Computed, not measured: a relaxed structure of CoGeHBr2 at the PBE-GGA level of DFT.

Computed properties:
Space-group type   No. 123
Calculated total energy   -2.9341 eV/atom

a = 5.4595 Å, b = 5.4595 Å, c = 4.6557 Å
α = 90.00°, β = 90.00°, γ = 90.00°
Closest atoms and distances in Å follow each position.
Sites, in units of the cell vectors:
H  0.5000  0.5000  0.5000  8 Br 3.59, 4 Co 3.86
Ge  0.0000  0.0000  0.0000  2 Co 2.33
Co  0.0000  0.0000  0.5000  2 Ge 2.33
Br  0.0000  0.5000  0.0000  2 Ge 2.73
Br  0.5000  0.0000  0.0000  2 Ge 2.73

(5)
Computed, not measured: a relaxed structure of Nb5Sn at the PBE-GGA level of DFT.

Computed properties:
Space-group type   No. 65
Energy of formation from the pure elements   -0.107 eV/atom
Calculated total energy   -9.1656 eV/atom
Energy above the lowest structure with this stoichiometry   0.000 eV per atom

a = 3.4816 Å, b = 4.6528 Å, c = 7.3211 Å
α = 108.53°, β = 90.00°, γ = 90.00°
Closest atoms and distances in Å follow each position.
Sites, in units of the cell vectors:
Nb  0.0000  0.6619  0.3239  8 Nb 2.84-2.91
Nb  0.0000  0.3381  0.6761  8 Nb 2.84-2.91
Nb  0.5000  0.5000  0.0000  4 Nb 2.84, 4 Sn 2.91
Nb  0.5000  0.1758  0.3515  8 Nb 2.85-3.11, 2 Sn 3.00
Nb  0.5000  0.8242  0.6485  8 Nb 2.85-3.11, 2 Sn 3.00
Sn  0.0000  0.0000  0.0000  12 Nb 2.91-3.24

(6)
Computed, not measured: a relaxed structure of Ca2BeReN4 at the PBE-GGA level of DFT.

Computed properties:
Space-group type   No. 59
Formation energy (no corrections)   -0.7044 eV per atom
Calculated total energy   -7.3892 eV/atom

a = 5.5616 Å, b = 5.7489 Å, c = 6.6051 Å
α = 90.00°, β = 90.00°, γ = 90.00°
Closest atoms and distances in Å follow each position.
Sites, in units of the cell vectors:
Ca  0.5002  0.2405  0.2521  5 N 2.36-2.60
Ca  0.5002  0.2405  0.7479  5 N 2.36-2.60
Ca  0.0003  0.7594  0.7520  5 N 2.36-2.60
Ca  0.0003  0.7594  0.2480  5 N 2.36-2.60
Be  0.0000  0.1906  0.5000  4 N 1.74-1.85
Be  0.4999  0.8094  0.0000  4 N 1.74-1.85
Re  0.5000  0.7916  0.5000  4 N 1.87
Re  0.0000  0.2083  0.0000  4 N 1.87
N  0.2610  0.0043  0.0000  1 Be 1.74, 1 Re 1.87
N  0.7611  0.9957  0.5000  1 Be 1.74, 1 Re 1.87
N  0.2393  0.9963  0.5000  1 Be 1.74, 1 Re 1.87
N  0.7392  0.0038  0.0000  1 Be 1.74, 1 Re 1.87
N  0.4996  0.6516  0.7562  1 Be 1.85, 1 Re 1.87
N  0.9997  0.3485  0.2561  1 Be 1.85, 1 Re 1.87
N  0.9997  0.3485  0.7439  1 Be 1.85, 1 Re 1.87
N  0.4996  0.6516  0.2438  1 Be 1.85, 1 Re 1.87

Number 1: total magnetization 0.0000 μB per atom, V 26.00 Å³/atom. Number 2: total magnetization 0.0925 μB per atom, V 35.03 Å³/atom. Number 3: total magnetization 0.0000 μB per atom, V 32.11 Å³/atom. Number 4: total magnetization 0.6080 μB per atom, V 27.75 Å³/atom. Number 5: total magnetization 0.0000 μB per atom, V 18.74 Å³/atom. Number 6: total magnetization 0.0000 μB per atom, V 13.20 Å³/atom.